(1)
VASP calculation (SCAN) on a crystal of CdInAg2N relaxed with PBEsol.

Geometry as POSCAR:
```
CdInAg2N
1.0
4.350 0.000 0.000
0.000 4.350 0.000
0.000 0.000 4.741
Cd In Ag N
1 1 2 1
Direct
0.000 0.000 0.000 Cd
0.500 0.500 0.000 In
0.000 0.500 0.500 Ag
0.500 0.000 0.500 Ag
0.500 0.500 0.500 N
```

Values from the calculation:
V ... 89.7 Å³ per cell
Energy relative to the elements, uncorrected ... 0.490 eV per atom
Crystal system ... tetragonal
DOS(E_F) ... 0.30 states/eV per atom
Space group ... P4/mmm

(2)
VASP calculation (SCAN) on a crystal of SrLiLa2 relaxed with PBEsol.

Geometry as POSCAR:
```
SrLiLa2
1.0
6.929 -1.855 0.000
6.929 1.855 0.000
-2.422 0.000 5.273
Sr Li La
1 1 2
Direct
0.000 0.000 0.000 Sr
0.500 0.500 0.500 Li
0.221 0.221 0.722 La
0.779 0.779 0.278 La
```

Values from the calculation:
ΔE_f ... 0.076 eV per atom
V ... 135.5 Å³ per cell
Offset from the most stable computed form ... 0.007 eV per atom
Crystal system ... monoclinic
DOS(E_F) ... 0.98 states/eV per atom
Space group ... C2/m